No. 1
Entry from Alexandria via LeMat-Bulk: a geometry-optimized RbOs2Pb2 structure (GGA-PBE).

Calculated values
Calculated formation energy   5.2 eV per formula unit
SG   P4/mbm
V   223.6 Å³ per cell
DOS at the Fermi energy   7.13 states/eV per cell
Offset from the most stable computed form   0.4856 eV per atom

```
RbOs2Pb2
1.0
8.5533 0.0000 0.0000
0.0000 8.5533 0.0000
0.0000 0.0000 3.0568
Os Rb Pb
4 2 4
Direct
0.1417 0.6417 0.5000 Os
0.6417 0.8583 0.5000 Os
0.3583 0.1417 0.5000 Os
0.8583 0.3583 0.5000 Os
0.5000 0.5000 0.0000 Rb
0.0000 0.0000 0.0000 Rb
0.3525 0.8525 0.0000 Pb
0.1475 0.3525 0.0000 Pb
0.6475 0.1475 0.0000 Pb
0.8525 0.6475 0.0000 Pb
```

---

No. 2
Entry from Alexandria via LeMat-Bulk: a geometry-optimized NaCdAgO2 structure (GGA-PBE).

Calculated values
SG   P2/c
V   192.2 Å³ per cell
Formation energy from raw total energies   -0.77 eV/atom

```
NaCdAgO2
1.0
-0.5271 -3.4672 3.7164
5.6196 -1.7260 -0.8132
1.7263 4.3374 4.2914
O Cd Na Ag
4 2 2 2
Direct
0.6753 0.7714 0.9971 O
0.3247 0.7714 0.4971 O
0.6753 0.2286 0.5029 O
0.3247 0.2286 0.0029 O
0.4913 0.0000 0.2500 Cd
0.5087 0.0000 0.7500 Cd
0.5436 0.5000 0.2500 Na
0.4564 0.5000 0.7500 Na
0.0000 0.0000 0.5000 Ag
0.0000 0.0000 0.0000 Ag
```

---

no.,spin magnetization (μB/cell),raw total energy (eV/atom),calculated density (g/cm3)
1,0.000,-5.137,13.1
2,0.000,-3.771,4.8